[1]
Here is a relaxed structure of NaMgIn2Rh from Alexandria. Energies are from PBE-GGA.

Summary:
Fermi-level density of states   0.39 states/eV per atom
Total magnetization   0.000 μB per atom
Symmetry   P4/mmm (123)
Raw total energy   -0.1237 Ha/atom

Lattice parameters (Å, degrees): 5.1558 5.1558 5.0330 90.00 90.00 90.00
Last column: nearest neighbours and their distance in Å.
Atoms (fractional coordinates):
Na (0.0000, 0.0000, 0.0000)  8 In 3.60, 4 Mg 3.65
Mg (0.5000, 0.5000, 0.0000)  2 Rh 2.52
In (0.0000, 0.5000, 0.5000)  2 Rh 2.58
In (0.5000, 0.0000, 0.5000)  2 Rh 2.58
Rh (0.5000, 0.5000, 0.5000)  2 Mg 2.52, 4 In 2.58

***

[2]
Here is a relaxed structure of NaMg2InS4 from Alexandria. Energies are from PBE-GGA.

Summary:
Fermi-level density of states   0.00 states/eV per atom
Total magnetization   0.000 μB per atom
Symmetry   Pmn2_1 (31)
Raw total energy   -0.1509 Ha/atom

Lattice parameters (Å, degrees): 8.4554 7.1317 6.6825 90.00 90.00 90.00
Last column: nearest neighbours and their distance in Å.
Atoms (fractional coordinates):
Na (0.0000, 0.1644, 0.0000)  4 S 2.72-2.77
Na (0.5000, 0.8356, 0.5000)  4 S 2.72-2.77
Mg (0.2473, 0.3331, 0.5044)  4 S 2.46-2.50
Mg (0.2527, 0.6669, 0.0044)  4 S 2.46-2.50
Mg (0.7473, 0.6669, 0.0044)  4 S 2.46-2.50
Mg (0.7527, 0.3331, 0.5044)  4 S 2.46-2.50
In (0.0000, 0.8210, 0.5073)  4 S 2.48-2.50
In (0.5000, 0.1790, 0.0073)  4 S 2.48-2.50
S (0.0000, 0.1609, 0.4150)  2 Mg 2.50, 1 In 2.50, 1 Na 2.77
S (0.0000, 0.7975, 0.8800)  2 Mg 2.47, 1 In 2.50, 1 Na 2.74
S (0.2352, 0.6554, 0.3732)  2 Mg 2.46-2.47, 1 In 2.48, 1 Na 2.72
S (0.2648, 0.3446, 0.8732)  2 Mg 2.46-2.47, 1 In 2.48, 1 Na 2.72
S (0.5000, 0.2025, 0.3800)  2 Mg 2.47, 1 In 2.50, 1 Na 2.74
S (0.5000, 0.8391, 0.9150)  2 Mg 2.50, 1 In 2.50, 1 Na 2.77
S (0.7352, 0.3446, 0.8732)  2 Mg 2.46-2.47, 1 In 2.48, 1 Na 2.72
S (0.7648, 0.6554, 0.3732)  2 Mg 2.46-2.47, 1 In 2.48, 1 Na 2.72

***

[3]
Here is a relaxed structure of NaMgIn2S4 from Alexandria. Energies are from PBE-GGA.

Summary:
Fermi-level density of states   0.38 states/eV per atom
Total magnetization   0.000 μB per atom
Symmetry   I-42m (121)
Raw total energy   -0.1446 Ha/atom

Lattice parameters (Å, degrees): 7.1207 7.1207 7.1207 128.50 128.50 75.82
Last column: nearest neighbours and their distance in Å.
Atoms (fractional coordinates):
Na (0.0000, 0.0000, 0.0000)  4 S 2.75
Mg (0.5000, 0.5000, 0.0000)  4 S 2.48
In (0.2500, 0.7500, 0.5000)  4 S 2.59
In (0.7500, 0.2500, 0.5000)  4 S 2.59
S (0.1419, 0.1419, 0.5377)  1 Mg 2.48, 2 In 2.59, 1 Na 2.75
S (0.3958, 0.8581, 0.0000)  1 Mg 2.48, 2 In 2.59, 1 Na 2.75
S (0.6042, 0.6042, 0.4623)  1 Mg 2.48, 2 In 2.59, 1 Na 2.75
S (0.8581, 0.3958, 0.0000)  1 Mg 2.48, 2 In 2.59, 1 Na 2.75